This record from Alexandria via LeMat-Bulk describes a relaxed Na3Pr2ErTe6 crystal. The functional is PBE-GGA.

a b c (Å): 7.8289 7.8289 8.0125
angles (deg): 99.38 99.38 120.03
Last column: nearest neighbours and their distance in Å.
Positions (direct):
Na (0.0000, 0.0000, 0.0000)  6 Te 3.25-3.36
Na (0.3305, 0.6695, 0.0000)  6 Te 3.25-3.32
Na (0.6695, 0.3305, 0.0000)  6 Te 3.25-3.32
Pr (0.1662, 0.8338, 0.5000)  6 Te 3.20-3.21
Pr (0.8338, 0.1662, 0.5000)  6 Te 3.20-3.21
Er (0.5000, 0.5000, 0.5000)  6 Te 3.09-3.10
Te (0.0985, 0.4211, 0.2629)  1 Er 3.10, 2 Pr 3.20-3.21, 3 Na 3.25-3.32
Te (0.2571, 0.2571, 0.7369)  1 Er 3.09, 2 Pr 3.20, 3 Na 3.28-3.36
Te (0.4211, 0.0985, 0.2629)  1 Er 3.10, 2 Pr 3.20-3.21, 3 Na 3.25-3.32
Te (0.5789, 0.9015, 0.7371)  1 Er 3.10, 2 Pr 3.20-3.21, 3 Na 3.25-3.32
Te (0.7429, 0.7429, 0.2631)  1 Er 3.09, 2 Pr 3.20, 3 Na 3.28-3.36
Te (0.9015, 0.5789, 0.7371)  1 Er 3.10, 2 Pr 3.20-3.21, 3 Na 3.25-3.32

Calculated values
Size of the total moment, μB/f.u.: 0.00
Energy relative to the elements, uncorrected, eV per atom: -1.32